Record 1
YNiIO2: single point on PBEsol structure, SCAN.

a b c (Å): 4.1597 4.1597 6.3336
angles (deg): 90.00 90.00 90.00
Sites, in units of the cell vectors:
Y 0.0000 0.0000 0.0000
Ni 0.5000 0.5000 0.5000
I 0.0000 0.0000 0.5000
O 0.0000 0.5000 0.0000
O 0.5000 0.0000 0.0000

Values from the calculation:
symmetry = P4/mmm, No. 123
uncorrected formation energy = -1.05 eV per atom

Record 2
CsTiIn3: single point on PBEsol structure, SCAN.

a b c (Å): 5.4627 5.4627 5.4627
angles (deg): 90.00 90.00 90.00
Sites, in units of the cell vectors:
Cs 0.0000 0.0000 0.0000
Ti 0.5000 0.5000 0.5000
In 0.0000 0.5000 0.5000
In 0.5000 0.0000 0.5000
In 0.5000 0.5000 0.0000

Values from the calculation:
symmetry = Pm-3m, No. 221
calculated formation energy = 0.330 eV/f.u.

Please write out number 1 again, unchanged.
YNiIO2: single point on PBEsol structure, SCAN.

a b c (Å): 4.1597 4.1597 6.3336
angles (deg): 90.00 90.00 90.00
Sites, in units of the cell vectors:
Y 0.0000 0.0000 0.0000
Ni 0.5000 0.5000 0.5000
I 0.0000 0.0000 0.5000
O 0.0000 0.5000 0.0000
O 0.5000 0.0000 0.0000

Values from the calculation:
symmetry = P4/mmm, No. 123
uncorrected formation energy = -1.05 eV per atom